P | NiOsW2: relaxed, GGA-PBE.

abc: 3.8899 3.8899 7.6788
angles: 90.00 90.00 90.00
Space group I-4m2 (No. 119)
Inequivalent atoms, fractional coordinates:
Ni (0.0000, 0.0000, 0.0000) x2
Os (0.0000, 0.5000, 0.7500) x2
W (0.0000, 0.0000, 0.5000) x2
W (0.0000, 0.5000, 0.2500) x2

Output
D(E_F) ... 6.8 states/eV/cell
M_tot ... 0.0 Bohr magnetons per cell
Calculated volume ... 58 Å³/f.u.
Calculated density ... 17.62 g/cm³

***

Q | NiOsW2: relaxed, GGA-PBE.

abc: 2.7923 4.3980 4.7269
angles: 90.00 90.00 90.00
Space group Pmm2 (No. 25)
Inequivalent atoms, fractional coordinates:
Ni (0.0000, 0.0000, 0.0000) x1
Os (0.0000, 0.5000, 0.6517) x1
W (0.5000, 0.0000, 0.4928) x1
W (0.5000, 0.5000, 0.1371) x1

Output
D(E_F) ... 3.5 states/eV/cell
M_tot ... 0.0 Bohr magnetons per cell
Calculated volume ... 58 Å³/f.u.
Calculated density ... 17.64 g/cm³

***

R | NiOsW2: relaxed, GGA-PBE.

abc: 3.8742 3.8742 7.6839
angles: 90.00 90.00 90.00
Space group I4/mmm (No. 139)
Inequivalent atoms, fractional coordinates:
Ni (0.0000, 0.0000, 0.0000) x2
Os (0.0000, 0.0000, 0.5000) x2
W (0.0000, 0.5000, 0.2500) x4

Output
D(E_F) ... 3.9 states/eV/cell
M_tot ... 0.0 Bohr magnetons per cell
Calculated volume ... 58 Å³/f.u.
Calculated density ... 17.76 g/cm³

***

Most stable structure, least stable structure: R, P.

***

P | NiOsW2: relaxed, GGA-PBE.

abc: 2.7524 2.7524 26.8470
angles: 90.00 90.00 120.00
Space group R-3m (No. 166, hexagonal axes)
Inequivalent atoms, fractional coordinates:
Ni (0.0000, 0.0000, 0.0000) x3
Os (0.0000, 0.0000, 0.5000) x3
W (0.0000, 0.0000, 0.2520) x6

Output
D(E_F) ... 12.7 states/eV/cell
M_tot ... 0.0 Bohr magnetons per cell
Calculated volume ... 59 Å³/f.u.
Calculated density ... 17.44 g/cm³

***

Q | NiOsW2: relaxed, GGA-PBE.

abc: 3.8606 3.8606 3.8642
angles: 90.00 90.00 90.00
Space group P4/mmm (No. 123)
Inequivalent atoms, fractional coordinates:
Ni (0.0000, 0.0000, 0.0000) x1
Os (0.5000, 0.5000, 0.0000) x1
W (0.0000, 0.5000, 0.5000) x2

Output
D(E_F) ... 2.7 states/eV/cell
M_tot ... 0.0 Bohr magnetons per cell
Calculated volume ... 58 Å³/f.u.
Calculated density ... 17.78 g/cm³

***

Most stable structure, least stable structure: Q, P.

***

P | NiOsW2: relaxed, GGA-PBE.

abc: 6.1622 6.1622 6.1622
angles: 90.00 90.00 90.00
Space group F-43m (No. 216)
Inequivalent atoms, fractional coordinates:
Ni (0.0000, 0.0000, 0.0000) x4
Os (0.2500, 0.2500, 0.2500) x4
W (0.0000, 0.0000, 0.5000) x4
W (0.2500, 0.2500, 0.7500) x4

Output
D(E_F) ... 21.1 states/eV/cell
M_tot ... 0.0 Bohr magnetons per cell
Calculated volume ... 58 Å³/f.u.
Calculated density ... 17.50 g/cm³

***

Q | NiOsW2: relaxed, GGA-PBE.

abc: 5.4472 7.6111 2.7998
angles: 90.00 90.00 90.00
Space group Cmmm (No. 65)
Inequivalent atoms, fractional coordinates:
Ni (0.0000, 0.0000, 0.0000) x2
Os (0.0000, 0.5000, 0.0000) x2
W (0.2500, 0.2500, 0.5000) x4

Output
D(E_F) ... 4.8 states/eV/cell
M_tot ... 0.0 Bohr magnetons per cell
Calculated volume ... 58 Å³/f.u.
Calculated density ... 17.64 g/cm³

***

Most stable structure, least stable structure: Q, P.

***

P | NiOsW2: relaxed, GGA-PBE.

abc: 9.0268 2.8546 4.6306
angles: 90.00 101.59 90.00
Space group C2/m (No. 12)
Inequivalent atoms, fractional coordinates:
Ni (0.0000, 0.0000, 0.0000) x2
Os (0.0000, 0.5000, 0.5000) x2
W (0.2481, 0.5000, 0.2449) x4

Output
D(E_F) ... 8.4 states/eV/cell
M_tot ... 0.0 Bohr magnetons per cell
Calculated volume ... 58 Å³/f.u.
Calculated density ... 17.52 g/cm³

***

Q | NiOsW2: relaxed, GGA-PBE.

abc: 8.9344 2.8279 4.7085
angles: 90.00 100.97 90.00
Space group Cm (No. 8)
Inequivalent atoms, fractional coordinates:
Ni (0.0000, 0.0000, 0.0000) x2
Os (0.2547, 0.0000, 0.7295) x2
W (0.0045, 0.5000, 0.5029) x2
W (0.2444, 0.5000, 0.2053) x2

Output
D(E_F) ... 5.7 states/eV/cell
M_tot ... 0.0 Bohr magnetons per cell
Calculated volume ... 58 Å³/f.u.
Calculated density ... 17.53 g/cm³

***

Most stable structure, least stable structure: Q, P.